{"formula": "ErSbF", "functional": "PBE", "state": "relaxed", "lattice_angstrom": [[4.784, 0.000, 0.000], [0.000, 3.906, 0.000], [0.000, -1.953, 3.383]], "species": ["F", "Er", "Sb"], "fractional_positions": [[0.167, 0.000, 0.000], [0.167, 0.667, 0.333], [0.667, 0.333, 0.667]], "de_polymorph_ev_per_atom": 0.0768, "formation_energy_uncorrected_ev_per_fu": -6.21, "sg": "P-6m2"}

---

{"formula": "Sr3SmIr8", "functional": "PBE", "state": "relaxed", "lattice_angstrom": [[-2.523, -1.906, -4.459], [2.852, -2.672, -3.822], [-1.484, -9.222, 1.432]], "species": ["Sm", "Ir", "Ir", "Ir", "Ir", "Ir", "Ir", "Ir", "Ir", "Sr", "Sr", "Sr"], "fractional_positions": [[0.875, 0.875, 0.375], [0.933, 0.437, 0.192], [0.437, 0.437, 0.192], [0.437, 0.933, 0.192], [0.938, 0.938, 0.683], [0.188, 0.188, 0.437], [0.938, 0.442, 0.683], [0.688, 0.688, 0.937], [0.442, 0.938, 0.683], [0.499, 0.499, 0.504], [0.001, 0.001, 0.996], [0.375, 0.375, 0.876]], "formation_energy_ev_per_atom": -0.38, "sg": "R3m"}

---

{"formula": "CdW3", "functional": "PBE", "state": "relaxed", "lattice_angstrom": [[7.705, 2.906, 2.727], [3.559, 6.223, 4.885], [-5.801, -6.271, -1.510]], "species": ["W", "W", "W", "W", "W", "W", "Cd", "Cd"], "fractional_positions": [[0.127, 0.127, 0.000], [0.000, 0.500, 0.500], [0.250, 0.750, 0.500], [0.500, 0.000, 0.500], [0.873, 0.873, 0.000], [0.750, 0.250, 0.500], [0.375, 0.375, 0.000], [0.625, 0.625, 0.000]], "de_polymorph_ev_per_atom": 0.3072, "formation_energy_ev_per_atom": 0.62, "sg": "I4/mmm"}

---

{"formula": "SbPd3O", "functional": "PBE", "state": "relaxed", "lattice_angstrom": [[-4.736, 1.372, 0.129], [-0.878, -2.649, -4.067], [-1.062, -3.928, 2.788]], "species": ["O", "Pd", "Pd", "Pd", "Sb"], "fractional_positions": [[0.500, 0.500, 0.500], [0.500, 0.000, 0.000], [0.000, 0.500, 0.000], [0.000, 0.000, 0.500], [0.000, 0.000, 0.000]], "de_polymorph_ev_per_atom": 1.0845, "formation_energy_uncorrected_ev_per_fu": 5.02, "sg": "Pm-3m"}

---

| no. | electronic total energy (eV per atom) |
| --- | --- |
| 1 | -5.590 |
| 2 | -7.104 |
| 3 | -9.322 |
| 4 | -3.929 |